w.
# PBE LaAsHBr2, relaxed
data_LaAsHBr2
_chemical_formula_sum 'La1 As1 H1 Br2'
_symmetry_space_group_name_H-M 'P 1'
_symmetry_Int_Tables_number 1
_symmetry_space_group_name_Hall 'P 1'
_cell_length_a 5.211
_cell_length_b 5.211
_cell_length_c 3.858
_cell_angle_alpha 90.00
_cell_angle_beta 90.00
_cell_angle_gamma 90.00
loop_
_atom_site_label
_atom_site_fract_x
_atom_site_fract_y
_atom_site_fract_z
H1 0.000 0.000 0.000
As1 0.000 0.000 0.500
Br1 0.000 0.500 0.000
Br2 0.500 0.000 0.000
La1 0.500 0.500 0.500
# V   105 Å³ per cell
# N(E_F)   0.645 states/eV per atom
# Crystal system   tetragonal
# Symmetry   P4/mmm, No. 123

x.
# PBE LaAsHBr2, relaxed
data_LaAsHBr2
_chemical_formula_sum 'La1 As1 H1 Br2'
_symmetry_space_group_name_H-M 'P 1'
_symmetry_Int_Tables_number 1
_symmetry_space_group_name_Hall 'P 1'
_cell_length_a 5.909
_cell_length_b 5.909
_cell_length_c 6.179
_cell_angle_alpha 90.00
_cell_angle_beta 90.00
_cell_angle_gamma 90.00
loop_
_atom_site_label
_atom_site_fract_x
_atom_site_fract_y
_atom_site_fract_z
H1 0.500 0.500 0.500
As1 0.000 0.000 0.500
Br1 0.000 0.500 0.000
Br2 0.500 0.000 0.000
La1 0.000 0.000 0.000
# V   216 Å³ per cell
# N(E_F)   0.207 states/eV per atom
# Crystal system   tetragonal
# Symmetry   P4/mmm, No. 123

The relative energies come out as w 0.0; x 13.8, with values in kJ/mol of atoms.

w.
# PBE MnAs2HBr, relaxed
data_MnAs2HBr
_chemical_formula_sum 'Mn1 As2 H1 Br1'
_symmetry_space_group_name_H-M 'P 1'
_symmetry_Int_Tables_number 1
_symmetry_space_group_name_Hall 'P 1'
_cell_length_a 3.917
_cell_length_b 3.917
_cell_length_c 6.015
_cell_angle_alpha 90.00
_cell_angle_beta 90.00
_cell_angle_gamma 90.00
loop_
_atom_site_label
_atom_site_fract_x
_atom_site_fract_y
_atom_site_fract_z
H1 0.000 0.000 0.000
As1 0.000 0.500 0.000
As2 0.500 0.000 0.000
Mn1 0.500 0.500 0.500
Br1 0.000 0.000 0.500
# V   92 Å³ per cell
# N(E_F)   0.764 states/eV per atom
# Crystal system   tetragonal
# Symmetry   P4/mmm, No. 123

x.
# PBE MnAs2HBr, relaxed
data_MnAs2HBr
_chemical_formula_sum 'Mn1 As2 H1 Br1'
_symmetry_space_group_name_H-M 'P 1'
_symmetry_Int_Tables_number 1
_symmetry_space_group_name_Hall 'P 1'
_cell_length_a 5.255
_cell_length_b 4.860
_cell_length_c 5.255
_cell_angle_alpha 90.00
_cell_angle_beta 90.00
_cell_angle_gamma 90.00
loop_
_atom_site_label
_atom_site_fract_x
_atom_site_fract_y
_atom_site_fract_z
H1 0.500 0.500 0.500
As1 0.000 0.000 0.500
As2 0.500 0.000 0.000
Mn1 0.000 0.500 0.000
Br1 0.000 0.000 0.000
# V   134 Å³ per cell
# N(E_F)   0.820 states/eV per atom
# Crystal system   tetragonal
# Symmetry   P4/mmm, No. 123

The relative energies come out as w 0.0; x 105.5, with values in kJ/mol of atoms.